Density functional theory data (PBE) for an optimized crystal structure of NiH6PtPb2.

Calculated values
- Space group: I4/mmm (139)
- N(E_F): 1.9 states/eV/cell
- Crystal system: tetragonal
- Final energy: -3.83 eV/atom

Unit cell a=5.7166 b=5.7166 c=5.7166 alpha=128.52 beta=128.52 gamma=75.78
Last column: nearest neighbours and their distance in Å.
Sites, in units of the cell vectors:
1 Ni 0.0000 0.0000 0.0000  2 H 1.56
2 H 0.1732 0.1732 0.0000  1 Ni 1.56
3 H 0.2504 0.2504 0.5009  1 Pt 1.75, 1 Ni 1.76
4 H 0.2504 0.7496 0.0000  1 Pt 1.75, 1 Ni 1.76
5 H 0.7496 0.2504 0.0000  1 Pt 1.75, 1 Ni 1.76
6 H 0.7496 0.7496 0.4991  1 Pt 1.75, 1 Ni 1.76
7 H 0.8268 0.8268 0.0000  1 Ni 1.56
8 Pt 0.5000 0.5000 0.0000  4 H 1.75
9 Pb 0.2500 0.7500 0.5000  12 H 2.58-2.86
10 Pb 0.7500 0.2500 0.5000  12 H 2.58-2.86